## Rb2Ca2S3O12 (SCAN)

Data for a crystal of Rb2Ca2S3O12 relaxed with PBEsol.

Cell: 10.598 10.598 10.598 Å, 90.00 90.00 90.00°
Space group P2_13 (No. 198)
One atom of each set of equivalent atoms:
1 Rb 0.050 0.050 0.050
2 Rb 0.187 0.313 0.687
3 Ca 0.092 0.908 0.408
4 Ca 0.169 0.669 0.831
5 S 0.010 0.225 0.375
6 O 0.008 0.094 0.324
7 O 0.013 0.073 0.734
8 O 0.038 0.813 0.222
9 O 0.089 0.859 0.760

Computed properties:
* density: 3.01 g cm⁻³
* crystal system: cubic
* spin magnetization: 0.0 Bohr magnetons per cell
* raw formation energy: -44.56 eV/f.u.
* total energy: -0.80857 Ry per atom